Record 1
VASP calculation (PBE) on an optimized crystal structure of TlCdI.

- calculated volume (Å³ per cell) = 204.8
- formation energy (no corrections) (kJ/mol of formula units) = -32
- total magnetic moment (μB per cell) = 0.0
- symmetry = No. 38
- energy above the most stable polymorph in this dataset (meV/atom) = 132

Cell: 14.085 4.096 4.096 Å, 60.06 90.00 90.00°
Sites, in units of the cell vectors:
Tl: 0.158 0.000 0.000
Tl: 0.842 0.000 0.000
Cd: 0.000 0.333 0.333
Cd: 0.500 0.007 0.007
I: 0.358 0.340 0.340
I: 0.642 0.340 0.340


Record 2
VASP calculation (PBE) on an optimized crystal structure of K4Ac3ZnS8.

- calculated volume (Å³ per cell) = 484.7
- formation energy (no corrections) (kJ/mol of formula units) = -2281
- total magnetic moment (μB per cell) = 1.0
- symmetry = No. 12

Cell: 8.720 8.720 8.914 Å, 118.07 118.07 58.04°
Sites, in units of the cell vectors:
K: 0.000 0.000 0.000
K: 0.000 0.500 0.000
K: 0.500 0.000 0.000
K: 0.500 0.500 0.000
Ac: 0.000 0.000 0.500
Ac: 0.000 0.500 0.500
Ac: 0.500 0.000 0.500
Zn: 0.500 0.500 0.500
S: 0.233 0.233 0.257
S: 0.233 0.233 0.717
S: 0.273 0.699 0.687
S: 0.301 0.727 0.313
S: 0.699 0.273 0.687
S: 0.727 0.301 0.313
S: 0.767 0.767 0.283
S: 0.767 0.767 0.743


Record 3
VASP calculation (PBE) on an optimized crystal structure of MgReBr2.

- calculated volume (Å³ per cell) = 74.3
- formation energy (no corrections) (kJ/mol of formula units) = 329
- total magnetic moment (μB per cell) = 0.0
- symmetry = No. 225
- energy above the most stable polymorph in this dataset (meV/atom) = 806

Cell: 4.718 4.718 4.718 Å, 60.00 60.00 60.00°
Sites, in units of the cell vectors:
Mg: 0.000 0.000 0.000
Re: 0.500 0.500 0.500
Br: 0.250 0.250 0.250
Br: 0.750 0.750 0.750


Record 4
VASP calculation (PBE) on an optimized crystal structure of Ba2TaH.

- calculated volume (Å³ per cell) = 131.3
- total magnetic moment (μB per cell) = 4.2
- symmetry = No. 225
- energy above the most stable polymorph in this dataset (meV/atom) = 206

Cell: 5.705 5.705 5.705 Å, 60.00 60.00 60.00°
Sites, in units of the cell vectors:
Ba: 0.250 0.250 0.250
Ba: 0.750 0.750 0.750
Ta: 0.000 0.000 0.000
H: 0.500 0.500 0.500


Copy entry 4 word for word.
VASP calculation (PBE) on an optimized crystal structure of Ba2TaH.

- calculated volume (Å³ per cell) = 131.3
- total magnetic moment (μB per cell) = 4.2
- symmetry = No. 225
- energy above the most stable polymorph in this dataset (meV/atom) = 206

Cell: 5.705 5.705 5.705 Å, 60.00 60.00 60.00°
Sites, in units of the cell vectors:
Ba: 0.250 0.250 0.250
Ba: 0.750 0.750 0.750
Ta: 0.000 0.000 0.000
H: 0.500 0.500 0.500


Q: What is the formula in the fourth record?
A: Ba2TaH


Q: What is the formula in the second record?
A: K4Ac3ZnS8